(w)
Material: InCuBr2
Method: DFT, GGA-PBEsol
State: optimized geometry

The crystal system is orthorhombic. Its density of states at the Fermi level is 0.97 states/eV/cell. For the total magnetization, the calculation gives 0.00 μB per atom.

Cell and atoms, written as POSCAR:
```
InCuBr2
1.0
-1.816 2.988 4.541
1.816 -2.988 4.541
1.816 2.988 -4.541
In Cu Br
1 1 2
direct
0.000 0.000 0.000
0.500 0.500 0.000
0.315 0.815 0.500
0.685 0.185 0.500
```


(x)
Material: InCuBr2
Method: DFT, GGA-PBEsol
State: optimized geometry

The crystal system is cubic. For the total magnetization, the calculation gives 0.00 μB per atom.

Cell and atoms, written as POSCAR:
```
InCuBr2
1.0
0.000 3.584 3.584
3.584 0.000 3.584
3.584 3.584 0.000
In Cu Br
1 1 2
direct
0.000 0.000 0.000
0.250 0.250 0.250
0.500 0.500 0.500
0.750 0.750 0.750
```


Question: which arrangement is favored energetically? Ranking from most to least stable: (w), (x).